Record 1
Below is LaOsPdRh2 after structural relaxation, with properties calculated at the PBE-GGA level.

```
LaOsPdRh2
1.0
4.691 0.000 0.000
0.000 5.484 0.000
0.000 0.000 4.691
Pd Rh Os La
1 2 1 1
direct
0.500 0.500 0.500
0.000 0.000 0.500
0.500 0.000 0.000
0.000 0.000 0.000
0.000 0.500 0.000
```

Calculated values
As for the formation energy: 0.67 eV/atom. As for the space-group type: P4/mmm, No. 123.

Record 2
Below is KSc2Be after structural relaxation, with properties calculated at the PBE-GGA level.

```
KSc2Be
1.0
3.552 0.000 0.000
0.000 5.312 0.000
0.000 0.000 5.187
K Sc Be
1 2 1
direct
0.000 0.500 0.500
0.500 0.500 0.000
0.000 0.000 0.000
0.500 0.000 0.500
```

Calculated values
As for the formation energy: 0.83 eV/atom. As for the space-group type: Pmmm, No. 47.

Record 3
Below is BaRh2Au2 after structural relaxation, with properties calculated at the PBE-GGA level.

```
BaRh2Au2
1.0
-2.617 2.581 7.051
0.430 -7.403 2.870
3.011 0.533 0.922
Ba Rh Au
2 4 4
direct
0.000 0.000 0.000
0.500 0.500 0.000
0.619 0.119 0.000
0.381 0.881 0.000
0.881 0.619 0.000
0.119 0.381 0.000
0.675 0.825 0.500
0.825 0.325 0.500
0.175 0.675 0.500
0.325 0.175 0.500
```

Calculated values
As for the formation energy: 0.00 eV/atom. As for the space-group type: P4/mbm, No. 127.